Material: TcH12C4S2Cl4O2
Method: DFT, GGA-PBE
State: relaxed

Computed properties:
The value obtained for the size of the total moment is 0.1203 μB per atom. Its total energy is -4.94 eV/atom. The space-group type is P-1, No. 2.

Cell lengths 8.6801, 8.9220, 13.8739 Å; angles 103.97, 100.04, 94.04 degrees
Last column: magnetic moment on the atom in μB.
Sites, in units of the cell vectors:
C 0.5497 0.2836 0.0895  0.00
C 0.4060 0.5404 0.1517  0.00
C 0.9899 0.3694 0.2337  0.00
C 0.4214 0.9895 0.2551  0.00
C 0.9901 0.6182 0.3943  0.01
C 0.6751 0.9898 0.4029  0.01
C 0.3249 0.0102 0.5971  0.01
C 0.0099 0.3818 0.6057  0.01
C 0.5786 0.0105 0.7449  0.00
C 0.0101 0.6306 0.7663  0.00
C 0.5940 0.4596 0.8483  0.00
C 0.4503 0.7164 0.9105  0.00
Cl 0.8033 0.9944 0.0589  0.08
Cl 0.0574 0.7237 0.0622  0.08
Cl 0.0183 0.9658 0.2840  0.07
Cl 0.6186 0.3800 0.3636  0.04
Cl 0.3845 0.6653 0.4048  0.05
Cl 0.2777 0.3098 0.4359  0.06
Cl 0.7223 0.6902 0.5641  0.06
Cl 0.6155 0.3347 0.5952  0.05
Cl 0.3814 0.6200 0.6364  0.04
Cl 0.9817 0.0342 0.7160  0.07
Cl 0.9426 0.2763 0.9378  0.08
Cl 0.1967 0.0056 0.9411  0.08
H 0.5382 0.1626 0.0449  0.00
H 0.6235 0.3611 0.0610  0.00
H 0.4919 0.5969 0.1186  0.00
H 0.2961 0.5944 0.1479  0.00
H 0.9927 0.3282 0.1529  0.00
H 0.5965 0.2925 0.1698  0.00
H 0.3767 0.9909 0.1763  0.00
H 0.4556 0.5421 0.2306  0.00
H 0.8766 0.3301 0.2496  0.00
H 0.3776 0.8802 0.2694  0.00
H 0.0875 0.3314 0.2805  0.00
H 0.3883 0.0901 0.3074  0.00
H 0.8712 0.5681 0.3949  0.00
H 0.6136 0.8805 0.4072  0.00
H 0.0049 0.7452 0.4229  0.00
H 0.8033 0.9917 0.4229  0.00
H 0.0821 0.5682 0.4373  0.00
H 0.6372 0.0919 0.4512  0.00
H 0.3628 0.9081 0.5488  0.00
H 0.9179 0.4318 0.5627  0.00
H 0.1967 0.0083 0.5771  0.00
H 0.9951 0.2548 0.5771  0.00
H 0.3864 0.1195 0.5928  0.00
H 0.1288 0.4319 0.6051  0.00
H 0.6117 0.9099 0.6926  0.00
H 0.9125 0.6686 0.7195  0.00
H 0.6224 0.1198 0.7306  0.00
H 0.1234 0.6699 0.7504  0.00
H 0.5444 0.4579 0.7694  0.00
H 0.6233 0.0091 0.8237  0.00
H 0.4035 0.7075 0.8302  0.00
H 0.0073 0.6718 0.8471  0.00
H 0.7039 0.4056 0.8521  0.00
H 0.5081 0.4031 0.8814  0.00
H 0.3765 0.6389 0.9390  0.00
H 0.4618 0.8374 0.9551  0.00
O 0.6910 0.6426 0.0285  0.02
O 0.8606 0.6160 0.2077  0.03
O 0.6582 0.8434 0.2100  0.03
O 0.3418 0.1566 0.7900  0.03
O 0.1394 0.3840 0.7923  0.03
O 0.3090 0.3574 0.9715  0.02
S 0.3563 0.3426 0.0828  0.01
S 0.0179 0.5769 0.2662  0.01
S 0.6319 0.0060 0.2751  0.01
S 0.3681 0.9940 0.7249  0.01
S 0.9821 0.4231 0.7338  0.01
S 0.6437 0.6574 0.9172  0.01
Tc 0.8522 0.8014 0.1422  2.28
Tc 0.5000 0.5000 0.5000  2.29
Tc 0.1478 0.1986 0.8578  2.28